No. 1
# TlMo2As PBE relaxed
data_TlMo2As
_space_group_name_H-M_alt 'P 1'
_space_group_IT_number 1
_cell_length_a 4.151
_cell_length_b 4.151
_cell_length_c 9.899
_cell_angle_alpha 77.90
_cell_angle_beta 77.90
_cell_angle_gamma 90.00
loop_
_space_group_symop_operation_xyz
'x,y,z'
loop_
_atom_site_label
_atom_site_type_symbol
_atom_site_fract_x
_atom_site_fract_y
_atom_site_fract_z
_atom_site_occupancy
Mo1 Mo 0.204 0.625 0.250 1
Mo2 Mo 0.546 0.125 0.250 1
Mo3 Mo 0.875 0.796 0.750 1
Mo4 Mo 0.375 0.454 0.750 1
As1 As 0.250 0.750 0.500 1
As2 As 0.500 0.500 0.000 1
Tl1 Tl 0.000 0.000 0.000 1
Tl2 Tl 0.750 0.250 0.500 1
# SG: I-42d (122)
# Distance to the lowest polymorph of the same formula: 522.9 meV/atom
# V: 81 Å³/f.u.
# Size of the total moment: 0.000 μB/atom
# Formation energy from the elements: 0.72 eV per atom

=====

No. 2
# TlMo2As PBE relaxed
data_TlMo2As
_space_group_name_H-M_alt 'P 1'
_space_group_IT_number 1
_cell_length_a 9.018
_cell_length_b 9.018
_cell_length_c 9.018
_cell_angle_alpha 20.37
_cell_angle_beta 20.37
_cell_angle_gamma 20.37
loop_
_space_group_symop_operation_xyz
'x,y,z'
loop_
_atom_site_label
_atom_site_type_symbol
_atom_site_fract_x
_atom_site_fract_y
_atom_site_fract_z
_atom_site_occupancy
Mo1 Mo 0.998 0.998 0.998 1
Mo2 Mo 0.263 0.263 0.263 1
Tl1 Tl 0.504 0.504 0.504 1
As1 As 0.736 0.736 0.736 1
# SG: R3m (160)
# Distance to the lowest polymorph of the same formula: 101.0 meV/atom
# V: 78 Å³/f.u.
# Size of the total moment: 0.000 μB/atom
# Formation energy from the elements: 0.30 eV per atom

=====

No. 3
# TlMo2As PBE relaxed
data_TlMo2As
_space_group_name_H-M_alt 'P 1'
_space_group_IT_number 1
_cell_length_a 8.750
_cell_length_b 8.750
_cell_length_c 8.750
_cell_angle_alpha 20.36
_cell_angle_beta 20.36
_cell_angle_gamma 20.36
loop_
_space_group_symop_operation_xyz
'x,y,z'
loop_
_atom_site_label
_atom_site_type_symbol
_atom_site_fract_x
_atom_site_fract_y
_atom_site_fract_z
_atom_site_occupancy
Mo1 Mo 0.490 0.490 0.490 1
Mo2 Mo 0.010 0.010 0.010 1
Tl1 Tl 0.250 0.250 0.250 1
As1 As 0.750 0.750 0.750 1
# SG: R-3m (166)
# Distance to the lowest polymorph of the same formula: 222.8 meV/atom
# V: 71 Å³/f.u.
# Size of the total moment: 0.000 μB/atom
# Formation energy from the elements: 0.42 eV per atom

=====

No. 4
# Tl2MoAs2 PBE relaxed
data_Tl2MoAs2
_space_group_name_H-M_alt 'P 1'
_space_group_IT_number 1
_cell_length_a 6.635
_cell_length_b 6.635
_cell_length_c 5.411
_cell_angle_alpha 90.00
_cell_angle_beta 90.00
_cell_angle_gamma 90.00
loop_
_space_group_symop_operation_xyz
'x,y,z'
loop_
_atom_site_label
_atom_site_type_symbol
_atom_site_fract_x
_atom_site_fract_y
_atom_site_fract_z
_atom_site_occupancy
Mo1 Mo 0.000 0.000 0.000 1
Mo2 Mo 0.500 0.500 0.000 1
Tl1 Tl 0.815 0.315 0.500 1
Tl2 Tl 0.315 0.185 0.500 1
Tl3 Tl 0.185 0.685 0.500 1
Tl4 Tl 0.685 0.815 0.500 1
As1 As 0.858 0.642 0.000 1
As2 As 0.142 0.358 0.000 1
As3 As 0.358 0.858 0.000 1
As4 As 0.642 0.142 0.000 1
# SG: P4/mbm (127)
# V: 119 Å³/f.u.
# Size of the total moment: 0.337 μB/atom
# Formation energy from the elements: 0.27 eV per atom

=====

No. 5
# TlMoAs2 PBE relaxed
data_TlMoAs2
_space_group_name_H-M_alt 'P 1'
_space_group_IT_number 1
_cell_length_a 8.597
_cell_length_b 8.597
_cell_length_c 8.597
_cell_angle_alpha 158.66
_cell_angle_beta 156.78
_cell_angle_gamma 31.74
loop_
_space_group_symop_operation_xyz
'x,y,z'
loop_
_atom_site_label
_atom_site_type_symbol
_atom_site_fract_x
_atom_site_fract_y
_atom_site_fract_z
_atom_site_occupancy
Mo1 Mo 0.547 0.547 0.000 1
As1 As 0.978 0.978 0.000 1
As2 As 0.663 0.163 0.500 1
Tl1 Tl 0.312 0.812 0.500 1
# SG: Imm2 (44)
# Distance to the lowest polymorph of the same formula: 85.0 meV/atom
# V: 91 Å³/f.u.
# Size of the total moment: 0.000 μB/atom
# Formation energy from the elements: 0.04 eV per atom

=====

No. 6
# TlMo2As PBE relaxed
data_TlMo2As
_space_group_name_H-M_alt 'P 1'
_space_group_IT_number 1
_cell_length_a 4.624
_cell_length_b 3.122
_cell_length_c 5.400
_cell_angle_alpha 73.19
_cell_angle_beta 90.00
_cell_angle_gamma 90.00
loop_
_space_group_symop_operation_xyz
'x,y,z'
loop_
_atom_site_label
_atom_site_type_symbol
_atom_site_fract_x
_atom_site_fract_y
_atom_site_fract_z
_atom_site_occupancy
Mo1 Mo 0.500 0.217 0.189 1
Mo2 Mo 0.000 0.817 0.994 1
Tl1 Tl 0.000 0.554 0.517 1
As1 As 0.500 0.912 0.799 1
# SG: Amm2 (38)
# Distance to the lowest polymorph of the same formula: 205.9 meV/atom
# V: 75 Å³/f.u.
# Size of the total moment: 0.000 μB/atom
# Formation energy from the elements: 0.41 eV per atom

=====

No. 7
# TlMoAs2 PBE relaxed
data_TlMoAs2
_space_group_name_H-M_alt 'P 1'
_space_group_IT_number 1
_cell_length_a 4.584
_cell_length_b 3.613
_cell_length_c 5.152
_cell_angle_alpha 69.53
_cell_angle_beta 90.00
_cell_angle_gamma 90.00
loop_
_space_group_symop_operation_xyz
'x,y,z'
loop_
_atom_site_label
_atom_site_type_symbol
_atom_site_fract_x
_atom_site_fract_y
_atom_site_fract_z
_atom_site_occupancy
As1 As 0.000 0.020 0.086 1
As2 As 0.500 0.443 0.237 1
Tl1 Tl 0.500 0.718 0.689 1
Mo1 Mo 0.000 0.320 0.487 1
# SG: Amm2 (38)
# Distance to the lowest polymorph of the same formula: 359.6 meV/atom
# V: 80 Å³/f.u.
# Size of the total moment: 0.000 μB/atom
# Formation energy from the elements: 0.31 eV per atom

=====

No. 8
# TlMoAs2 PBE relaxed
data_TlMoAs2
_space_group_name_H-M_alt 'P 1'
_space_group_IT_number 1
_cell_length_a 4.823
_cell_length_b 4.823
_cell_length_c 4.823
_cell_angle_alpha 60.00
_cell_angle_beta 60.00
_cell_angle_gamma 60.00
loop_
_space_group_symop_operation_xyz
'x,y,z'
loop_
_atom_site_label
_atom_site_type_symbol
_atom_site_fract_x
_atom_site_fract_y
_atom_site_fract_z
_atom_site_occupancy
Tl1 Tl 0.750 0.750 0.750 1
As1 As 0.250 0.250 0.250 1
As2 As 0.000 0.000 0.000 1
Mo1 Mo 0.500 0.500 0.500 1
# SG: F-43m (216)
# Distance to the lowest polymorph of the same formula: 847.0 meV/atom
# V: 79 Å³/f.u.
# Size of the total moment: 0.388 μB/atom
# Formation energy from the elements: 0.80 eV per atom

=====

No. 9
# TlMo2As PBE relaxed
data_TlMo2As
_space_group_name_H-M_alt 'P 1'
_space_group_IT_number 1
_cell_length_a 3.270
_cell_length_b 4.595
_cell_length_c 4.595
_cell_angle_alpha 90.00
_cell_angle_beta 90.00
_cell_angle_gamma 90.00
loop_
_space_group_symop_operation_xyz
'x,y,z'
loop_
_atom_site_label
_atom_site_type_symbol
_atom_site_fract_x
_atom_site_fract_y
_atom_site_fract_z
_atom_site_occupancy
Tl1 Tl 0.500 0.500 0.000 1
Mo1 Mo 0.000 0.500 0.500 1
Mo2 Mo 0.000 0.000 0.000 1
As1 As 0.500 0.000 0.500 1
# SG: P4/mmm (123)
# Distance to the lowest polymorph of the same formula: 410.2 meV/atom
# V: 69 Å³/f.u.
# Size of the total moment: 0.000 μB/atom
# Formation energy from the elements: 0.61 eV per atom

=====

No. 10
# TlMoAs PBE relaxed
data_TlMoAs
_space_group_name_H-M_alt 'P 1'
_space_group_IT_number 1
_cell_length_a 4.525
_cell_length_b 4.525
_cell_length_c 4.525
_cell_angle_alpha 60.00
_cell_angle_beta 60.00
_cell_angle_gamma 60.00
loop_
_space_group_symop_operation_xyz
'x,y,z'
loop_
_atom_site_label
_atom_site_type_symbol
_atom_site_fract_x
_atom_site_fract_y
_atom_site_fract_z
_atom_site_occupancy
Mo1 Mo 0.750 0.750 0.750 1
As1 As 0.500 0.500 0.500 1
Tl1 Tl 0.000 0.000 0.000 1
# SG: F-43m (216)
# Distance to the lowest polymorph of the same formula: 715.8 meV/atom
# V: 66 Å³/f.u.
# Size of the total moment: 0.049 μB/atom
# Formation energy from the elements: 0.72 eV per atom

=====

No. 11
# U2MoAs PBE relaxed
data_U2MoAs
_space_group_name_H-M_alt 'P 1'
_space_group_IT_number 1
_cell_length_a 3.037
_cell_length_b 3.037
_cell_length_c 9.831
_cell_angle_alpha 81.11
_cell_angle_beta 81.11
_cell_angle_gamma 60.00
loop_
_space_group_symop_operation_xyz
'x,y,z'
loop_
_atom_site_label
_atom_site_type_symbol
_atom_site_fract_x
_atom_site_fract_y
_atom_site_fract_z
_atom_site_occupancy
Mo1 Mo 0.000 0.000 0.000 1
As1 As 0.500 0.500 0.500 1
U1 U 0.747 0.747 0.760 1
U2 U 0.253 0.253 0.240 1
# SG: R-3m (166)
# Distance to the lowest polymorph of the same formula: 371.7 meV/atom
# V: 77 Å³/f.u.
# Size of the total moment: 0.000 μB/atom
# Formation energy from the elements: 0.16 eV per atom

=====

No. 12
# UMoAs PBE relaxed
data_UMoAs
_space_group_name_H-M_alt 'P 1'
_space_group_IT_number 1
_cell_length_a 3.271
_cell_length_b 3.271
_cell_length_c 5.769
_cell_angle_alpha 106.47
_cell_angle_beta 106.47
_cell_angle_gamma 90.00
loop_
_space_group_symop_operation_xyz
'x,y,z'
loop_
_atom_site_label
_atom_site_type_symbol
_atom_site_fract_x
_atom_site_fract_y
_atom_site_fract_z
_atom_site_occupancy
U1 U 0.340 0.340 0.680 1
Mo1 Mo 0.021 0.021 0.043 1
As1 As 0.639 0.639 0.278 1
# SG: I4mm (107)
# V: 57 Å³/f.u.
# Size of the total moment: 0.600 μB/atom
# Formation energy from the elements: -0.10 eV per atom

=====

No. 13
# UMoAs PBE relaxed
data_UMoAs
_space_group_name_H-M_alt 'P 1'
_space_group_IT_number 1
_cell_length_a 3.355
_cell_length_b 4.431
_cell_length_c 4.431
_cell_angle_alpha 120.00
_cell_angle_beta 90.00
_cell_angle_gamma 90.00
loop_
_space_group_symop_operation_xyz
'x,y,z'
loop_
_atom_site_label
_atom_site_type_symbol
_atom_site_fract_x
_atom_site_fract_y
_atom_site_fract_z
_atom_site_occupancy
As1 As 0.167 0.000 0.000 1
Mo1 Mo 0.167 0.333 0.667 1
U1 U 0.667 0.667 0.333 1
# SG: P-6m2 (187)
# V: 57 Å³/f.u.
# Size of the total moment: 0.000 μB/atom
# Formation energy from the elements: -0.15 eV per atom